# 1
Density functional theory data (GGA-PBE) for a relaxed structure of Zr2PaAu.

```
data_Zr2PaAu
_chemical_formula_sum 'Zr8 Pa4 Au4'
_cell_length_a 7.0838
_cell_length_b 7.0838
_cell_length_c 7.0838
_cell_angle_alpha 90.00
_cell_angle_beta 90.00
_cell_angle_gamma 90.00
_space_group_name_H-M_alt 'F -4 3 m'
_space_group_IT_number 216
_space_group_name_Hall 'F -4 2 3'
loop_
_atom_site_label
_atom_site_fract_x
_atom_site_fract_y
_atom_site_fract_z
Zr1 0.0000 0.0000 0.0000
Zr2 0.2500 0.2500 0.2500
Pa1 0.2500 0.2500 0.7500
Au1 0.0000 0.0000 0.5000
```

Summary:
VASP energy (eV/atom): -7.570
Density of states at the Fermi level (states/eV/f.u.): 3.2
Relative energy among the computed polymorphs (meV per atom): 109.7



# 2
Density functional theory data (GGA-PBE) for a relaxed structure of Mg2MoRh.

```
data_Mg2MoRh
_chemical_formula_sum 'Mg4 Mo2 Rh2'
_cell_length_a 4.5113
_cell_length_b 4.5113
_cell_length_c 6.3713
_cell_angle_alpha 90.00
_cell_angle_beta 90.00
_cell_angle_gamma 90.00
_space_group_name_H-M_alt 'I -4 m 2'
_space_group_IT_number 119
_space_group_name_Hall 'I -4 -2'
loop_
_atom_site_label
_atom_site_fract_x
_atom_site_fract_y
_atom_site_fract_z
Mg1 0.0000 0.0000 0.0000
Mg2 0.0000 0.5000 0.2500
Mo1 0.0000 0.0000 0.5000
Rh1 0.0000 0.5000 0.7500
```

Summary:
VASP energy (eV/atom): -5.286
Density of states at the Fermi level (states/eV/f.u.): 3.4
Relative energy among the computed polymorphs (meV per atom): 152.1



# 3
Density functional theory data (GGA-PBE) for a relaxed structure of Zr2BeOs.

```
data_Zr2BeOs
_chemical_formula_sum 'Zr8 Be4 Os4'
_cell_length_a 7.3264
_cell_length_b 7.3264
_cell_length_c 5.5096
_cell_angle_alpha 90.00
_cell_angle_beta 90.00
_cell_angle_gamma 90.00
_space_group_name_H-M_alt 'I -4 2 d'
_space_group_IT_number 122
_space_group_name_Hall 'I -4 2bw'
loop_
_atom_site_label
_atom_site_fract_x
_atom_site_fract_y
_atom_site_fract_z
Zr1 0.2350 0.2500 0.1250
Be1 0.0000 0.0000 0.5000
Os1 0.0000 0.0000 0.0000
```

Summary:
VASP energy (eV/atom): -7.640
Density of states at the Fermi level (states/eV/f.u.): 3.4



# 4
Density functional theory data (GGA-PBE) for a relaxed structure of TaBeGa.

```
data_TaBeGa
_chemical_formula_sum 'Ta4 Be4 Ga4'
_cell_length_a 4.9667
_cell_length_b 6.9064
_cell_length_c 5.1674
_cell_angle_alpha 90.00
_cell_angle_beta 90.00
_cell_angle_gamma 90.00
_space_group_name_H-M_alt 'C m c m'
_space_group_IT_number 63
_space_group_name_Hall '-C 2c 2'
loop_
_atom_site_label
_atom_site_fract_x
_atom_site_fract_y
_atom_site_fract_z
Ta1 0.0000 0.1721 0.2500
Be1 0.0000 0.5000 0.0000
Ga1 0.0000 0.2085 0.7500
```

Summary:
VASP energy (eV/atom): -5.942
Density of states at the Fermi level (states/eV/f.u.): 1.0
Relative energy among the computed polymorphs (meV per atom): 555.9



# 5
Density functional theory data (GGA-PBE) for a relaxed structure of LuZrIn2.

```
data_LuZrIn2
_chemical_formula_sum 'Lu3 Zr3 In6'
_cell_length_a 3.4122
_cell_length_b 3.4122
_cell_length_c 29.7101
_cell_angle_alpha 90.00
_cell_angle_beta 90.00
_cell_angle_gamma 120.00
_space_group_name_H-M_alt 'R -3 m'
_space_group_IT_number 166
_space_group_name_Hall '-R 3 2"'
loop_
_atom_site_label
_atom_site_fract_x
_atom_site_fract_y
_atom_site_fract_z
Lu1 0.0000 0.0000 0.0000
Zr1 0.0000 0.0000 0.5000
In1 0.0000 0.0000 0.2484
```

Summary:
VASP energy (eV/atom): -4.832
Density of states at the Fermi level (states/eV/f.u.): 3.3



# 6
Density functional theory data (GGA-PBE) for a relaxed structure of Cs2Tl3Cd4Hg.

```
data_Cs2Tl3Cd4Hg
_chemical_formula_sum 'Cs2 Tl3 Cd4 Hg1'
_cell_length_a 5.3850
_cell_length_b 5.3850
_cell_length_c 12.2652
_cell_angle_alpha 90.00
_cell_angle_beta 90.00
_cell_angle_gamma 90.00
_space_group_name_H-M_alt 'P -4 m 2'
_space_group_IT_number 115
loop_
_space_group_symop_operation_xyz
'x,y,z'
'y,-x,-z'
'-x,-y,z'
'-y,x,-z'
'-x,y,z'
'-y,-x,-z'
'x,-y,z'
'y,x,-z'
loop_
_atom_site_label
_atom_site_fract_x
_atom_site_fract_y
_atom_site_fract_z
Cs1 0.0000 0.5000 0.2463
Tl1 0.0000 0.0000 0.0000
Tl2 0.0000 0.5000 0.6214
Cd1 0.0000 0.0000 0.5000
Cd2 0.0000 0.5000 0.8783
Cd3 0.5000 0.5000 0.5000
Hg1 0.5000 0.5000 0.0000
```

Summary:
VASP energy (eV/atom): -1.334
Density of states at the Fermi level (states/eV/f.u.): 6.4



- Number 3 is which compound?
  Zr2BeOs